1.
Material: Ba2GaPb
Method: DFT, PBE
State: optimized geometry

a = 12.2257 Å, b = 12.2257 Å, c = 12.2257 Å
α = 19.24°, β = 19.24°, γ = 19.24°
Last column: nearest neighbours and their distance in Å.
Fractional positions:
Ba  0.0997  0.0997  0.0997  3 Ga 3.37, 1 Pb 3.59
Ba  0.9003  0.9003  0.9003  3 Ga 3.37, 1 Pb 3.59
Ga  0.5000  0.5000  0.5000  6 Ba 3.37
Pb  0.0000  0.0000  0.0000  2 Ba 3.59

The calculation puts the formation energy at 0.045 eV/atom. For the total magnetic moment, the calculation gives 0.00 μB per cell. As for the crystal system: trigonal. For the total energy, the calculation gives -0.096 hartree per atom.

2.
Material: In2CoTc
Method: DFT, PBE
State: optimized geometry

a = 2.9167 Å, b = 2.9167 Å, c = 8.4960 Å
α = 90.00°, β = 90.00°, γ = 109.47°
Last column: nearest neighbours and their distance in Å.
Fractional positions:
In  0.0000  0.0000  0.2369  2 Co 2.62, 2 Tc 2.80, 4 In 2.92
In  0.0000  0.0000  0.7631  2 Co 2.62, 2 Tc 2.80, 4 In 2.92
Co  0.5000  0.5000  0.0000  4 In 2.62, 4 Co 2.92
Tc  0.5000  0.5000  0.5000  4 In 2.80, 4 Tc 2.92

The calculation puts the formation energy at 0.439 eV/atom. For the total magnetic moment, the calculation gives 0.41 μB per cell. As for the crystal system: orthorhombic. For the total energy, the calculation gives -0.195 hartree per atom.

3.
Material: ZrSe2BrCl
Method: DFT, PBE
State: optimized geometry

a = 5.2508 Å, b = 5.2508 Å, c = 5.2912 Å
α = 90.00°, β = 90.00°, γ = 90.00°
Last column: nearest neighbours and their distance in Å.
Fractional positions:
Zr  0.0000  0.0000  0.0000  4 Se 2.63, 2 Br 2.65
Se  0.0000  0.5000  0.0000  2 Zr 2.63
Se  0.5000  0.0000  0.0000  2 Zr 2.63
Br  0.0000  0.0000  0.5000  2 Zr 2.65
Cl  0.5000  0.5000  0.5000  4 Br 3.71, 8 Se 3.73

The value obtained for the energy relative to the elements, uncorrected is -0.4645 eV/atom. For the total magnetic moment, the calculation gives 1.34 μB per cell. As for the crystal system: tetragonal. For the total energy, the calculation gives -0.157 hartree per atom.

4.
Material: CuTe3Pb
Method: DFT, PBE
State: optimized geometry

a = 5.2061 Å, b = 5.2061 Å, c = 5.2061 Å
α = 90.00°, β = 90.00°, γ = 90.00°
Last column: nearest neighbours and their distance in Å.
Fractional positions:
Cu  0.0000  0.0000  0.0000  6 Te 2.60
Te  0.0000  0.0000  0.5000  2 Cu 2.60
Te  0.0000  0.5000  0.0000  2 Cu 2.60
Te  0.5000  0.0000  0.0000  2 Cu 2.60
Pb  0.5000  0.5000  0.5000  12 Te 3.68

The value obtained for the energy relative to the elements, uncorrected is 0.1345 eV/atom. For the total magnetic moment, the calculation gives 0.00 μB per cell. As for the crystal system: cubic. For the total energy, the calculation gives -0.122 hartree per atom.

5.
Material: La2Pm7YCd2
Method: DFT, PBE
State: optimized geometry

a = 6.1743 Å, b = 6.1743 Å, c = 11.1859 Å
α = 90.00°, β = 90.00°, γ = 111.03°
Last column: nearest neighbours and their distance in Å.
Fractional positions:
La  0.0000  0.0000  0.1494  1 La 3.34, 6 Pm 3.58-3.69, 2 Cd 3.60
La  0.0000  0.0000  0.8506  1 La 3.34, 6 Pm 3.58-3.69, 2 Cd 3.60
Pm  0.0000  0.0000  0.5000  2 Y 3.50, 8 Pm 3.62
Pm  0.0000  0.5000  0.3305  2 Cd 3.29, 4 Pm 3.50-3.62, 2 Y 3.62
Pm  0.0000  0.5000  0.6695  2 Cd 3.29, 4 Pm 3.50-3.62, 2 Y 3.62
Pm  0.3112  0.6888  0.0000  2 Cd 3.19
Pm  0.5000  0.0000  0.3305  2 Cd 3.29, 4 Pm 3.50-3.62, 2 Y 3.62
Pm  0.5000  0.0000  0.6695  2 Cd 3.29, 4 Pm 3.50-3.62, 2 Y 3.62
Pm  0.6888  0.3112  0.0000  2 Cd 3.19
Y  0.5000  0.5000  0.5000  2 Cd 3.05
Cd  0.5000  0.5000  0.2277  1 Y 3.05, 6 Pm 3.19-3.29
Cd  0.5000  0.5000  0.7723  1 Y 3.05, 6 Pm 3.19-3.29

The calculation puts the formation energy at -0.005 eV/atom. For the total magnetic moment, the calculation gives 0.00 μB per cell. As for the crystal system: orthorhombic. For the total energy, the calculation gives -0.158 hartree per atom.

6.
Material: K3TaI
Method: DFT, PBE
State: optimized geometry

a = 6.5232 Å, b = 6.5232 Å, c = 6.5232 Å
α = 90.00°, β = 90.00°, γ = 90.00°
Last column: nearest neighbours and their distance in Å.
Fractional positions:
K  0.0000  0.0000  0.5000  2 I 3.26
K  0.0000  0.5000  0.0000  2 I 3.26
K  0.5000  0.0000  0.0000  2 I 3.26
Ta  0.5000  0.5000  0.5000  12 K 4.61
I  0.0000  0.0000  0.0000  6 K 3.26

The value obtained for the energy relative to the elements, uncorrected is 0.7655 eV/atom. For the total magnetic moment, the calculation gives 5.00 μB per cell. As for the crystal system: cubic. For the total energy, the calculation gives -0.095 hartree per atom.

7.
Material: PmSc5S8
Method: DFT, PBE
State: optimized geometry

a = 7.7193 Å, b = 7.7193 Å, c = 7.7193 Å
α = 60.00°, β = 60.00°, γ = 60.00°
Last column: nearest neighbours and their distance in Å.
Fractional positions:
Pm  0.0000  0.0000  0.0000  4 S 2.64
Sc  0.3775  0.3775  0.3775  6 S 2.61-2.63
Sc  0.3775  0.3775  0.8675  6 S 2.61-2.63
Sc  0.3775  0.8675  0.3775  6 S 2.61-2.63
Sc  0.7500  0.7500  0.7500  4 S 2.48
Sc  0.8675  0.3775  0.3775  6 S 2.61-2.63
S  0.1398  0.1398  0.1398  3 Sc 2.61, 1 Pm 2.64
S  0.1398  0.1398  0.5808  3 Sc 2.61, 1 Pm 2.64
S  0.1398  0.5808  0.1398  3 Sc 2.61, 1 Pm 2.64
S  0.1442  0.6186  0.6186  4 Sc 2.48-2.63
S  0.5808  0.1398  0.1398  3 Sc 2.61, 1 Pm 2.64
S  0.6186  0.1442  0.6186  4 Sc 2.48-2.63
S  0.6186  0.6186  0.1442  4 Sc 2.48-2.63
S  0.6186  0.6186  0.6186  4 Sc 2.48-2.63

The value obtained for the energy relative to the elements, uncorrected is -1.8145 eV/atom. For the total magnetic moment, the calculation gives 0.00 μB per cell. As for the crystal system: cubic. For the total energy, the calculation gives -0.249 hartree per atom.

8.
Material: PrIn3Ni
Method: DFT, PBE
State: optimized geometry

a = 8.9678 Å, b = 4.4299 Å, c = 11.6100 Å
α = 90.00°, β = 90.00°, γ = 90.00°
Last column: nearest neighbours and their distance in Å.
Fractional positions:
Pr  0.1870  0.2500  0.0070  8 In 3.28-3.58, 2 Ni 3.43
Pr  0.3130  0.7500  0.5070  8 In 3.28-3.58, 2 Ni 3.43
Pr  0.6870  0.2500  0.4930  8 In 3.28-3.58, 2 Ni 3.43
Pr  0.8130  0.7500  0.9930  8 In 3.28-3.58, 2 Ni 3.43
In  0.0605  0.2500  0.5810  3 Ni 2.66-2.74, 1 In 2.95
In  0.1200  0.7500  0.7959  2 Ni 2.61-2.62
In  0.1363  0.7500  0.2149  2 Ni 2.76, 1 In 2.95
In  0.3637  0.2500  0.7149  2 Ni 2.76, 1 In 2.95
In  0.3800  0.2500  0.2959  2 Ni 2.61-2.62
In  0.4395  0.7500  0.0810  3 Ni 2.66-2.74, 1 In 2.95
In  0.5605  0.2500  0.9190  3 Ni 2.66-2.74, 1 In 2.95
In  0.6200  0.7500  0.7041  2 Ni 2.61-2.62
In  0.6363  0.7500  0.2851  2 Ni 2.76, 1 In 2.95
In  0.8637  0.2500  0.7851  2 Ni 2.76, 1 In 2.95
In  0.8800  0.2500  0.2041  2 Ni 2.61-2.62
In  0.9395  0.7500  0.4190  3 Ni 2.66-2.74, 1 In 2.95
Ni  0.0985  0.2500  0.3540  7 In 2.61-2.76
Ni  0.4015  0.7500  0.8540  7 In 2.61-2.76
Ni  0.5985  0.2500  0.1460  7 In 2.61-2.76
Ni  0.9015  0.7500  0.6460  7 In 2.61-2.76

The calculation puts the formation energy at -0.385 eV/atom. For the total magnetic moment, the calculation gives 0.00 μB per cell. As for the crystal system: orthorhombic. For the total energy, the calculation gives -0.152 hartree per atom.

9.
Material: Pm2Pr2N3
Method: DFT, PBE
State: optimized geometry

a = 6.4271 Å, b = 6.4271 Å, c = 6.3776 Å
α = 101.26°, β = 101.26°, γ = 33.12°
Last column: nearest neighbours and their distance in Å.
Fractional positions:
Pm  0.1372  0.1372  0.3581  4 N 2.42-2.61
Pm  0.8628  0.8628  0.6419  4 N 2.42-2.61
Pr  0.3763  0.3763  0.1178  5 N 2.53-2.72
Pr  0.6237  0.6237  0.8822  5 N 2.53-2.72
N  0.0000  0.0000  0.0000  2 Pm 2.55, 4 Pr 2.59
N  0.2568  0.2568  0.7454  3 Pm 2.42-2.61, 1 Pr 2.53
N  0.7432  0.7432  0.2546  3 Pm 2.42-2.61, 1 Pr 2.53

The value obtained for the energy relative to the elements, uncorrected is -1.1707 eV/atom. For the total magnetic moment, the calculation gives 0.49 μB per cell. As for the crystal system: monoclinic. For the total energy, the calculation gives -0.274 hartree per atom.

10.
Material: PrDy9Y2
Method: DFT, PBE
State: optimized geometry

a = 11.2757 Å, b = 11.2757 Å, c = 3.5129 Å
α = 90.00°, β = 90.00°, γ = 120.00°
Last column: nearest neighbours and their distance in Å.
Fractional positions:
Pr  0.0000  0.0000  0.0000  2 Pr 3.51, 12 Dy 3.89
Dy  0.0000  0.5000  0.0000  2 Y 3.26, 10 Dy 3.51-3.61
Dy  0.1776  0.3551  0.5000  8 Dy 3.47-3.61, 2 Y 3.51
Dy  0.1776  0.8224  0.5000  8 Dy 3.47-3.61, 2 Y 3.51
Dy  0.3551  0.1776  0.5000  8 Dy 3.47-3.61, 2 Y 3.51
Dy  0.5000  0.0000  0.0000  2 Y 3.26, 10 Dy 3.51-3.61
Dy  0.5000  0.5000  0.0000  2 Y 3.26, 10 Dy 3.51-3.61
Dy  0.6449  0.8224  0.5000  8 Dy 3.47-3.61, 2 Y 3.51
Dy  0.8224  0.1776  0.5000  8 Dy 3.47-3.61, 2 Y 3.51
Dy  0.8224  0.6449  0.5000  8 Dy 3.47-3.61, 2 Y 3.51
Y  0.3333  0.6667  0.0000  9 Dy 3.26-3.51, 2 Y 3.51
Y  0.6667  0.3333  0.0000  9 Dy 3.26-3.51, 2 Y 3.51

The calculation puts the formation energy at 0.044 eV/atom. For the total magnetic moment, the calculation gives 0.00 μB per cell. As for the crystal system: hexagonal. For the total energy, the calculation gives -0.179 hartree per atom.

11.
Material: Er2TiIn
Method: DFT, PBE
State: optimized geometry

a = 5.2134 Å, b = 5.2134 Å, c = 5.2134 Å
α = 60.00°, β = 60.00°, γ = 60.00°
Last column: nearest neighbours and their distance in Å.
Fractional positions:
Er  0.2500  0.2500  0.2500  4 In 3.19, 4 Ti 3.19
Er  0.7500  0.7500  0.7500  4 In 3.19, 4 Ti 3.19
Ti  0.0000  0.0000  0.0000  8 Er 3.19
In  0.5000  0.5000  0.5000  8 Er 3.19

The calculation puts the formation energy at -0.096 eV/atom. For the total magnetic moment, the calculation gives 2.79 μB per cell. As for the crystal system: cubic. For the total energy, the calculation gives -0.185 hartree per atom.

12.
Material: Hg6TePtI2
Method: DFT, PBE
State: optimized geometry

a = 7.7108 Å, b = 7.7108 Å, c = 7.6300 Å
α = 118.85°, β = 118.85°, γ = 62.27°
Last column: nearest neighbours and their distance in Å.
Fractional positions:
Hg  0.1997  0.7171  0.6906  1 Pt 2.65, 1 Te 2.94
Hg  0.2333  0.2333  0.8274  1 Pt 2.65
Hg  0.2829  0.8003  0.3094  1 Pt 2.65, 1 Te 2.94
Hg  0.7171  0.1997  0.6906  1 Pt 2.65, 1 Te 2.94
Hg  0.7667  0.7667  0.1726  1 Pt 2.65
Hg  0.8003  0.2829  0.3094  1 Pt 2.65, 1 Te 2.94
Te  0.5000  0.5000  0.0000  6 Hg 2.94-2.98
Pt  0.0000  0.0000  0.5000  6 Hg 2.65
I  0.2554  0.2554  0.2700  5 Hg 3.22-3.57
I  0.7446  0.7446  0.7300  5 Hg 3.22-3.57

The value obtained for the energy relative to the elements, uncorrected is -0.1073 eV/atom. For the total magnetic moment, the calculation gives 0.00 μB per cell. As for the crystal system: monoclinic. For the total energy, the calculation gives -0.056 hartree per atom.

Number 1: calculated density 5.280 Mg/m³. Number 2: calculated density 9.420 Mg/m³. Number 3: calculated density 4.149 Mg/m³. Number 4: calculated density 7.691 Mg/m³. Number 5: calculated density 6.702 Mg/m³. Number 6: calculated density 2.543 Mg/m³. Number 7: calculated density 3.197 Mg/m³. Number 8: calculated density 7.835 Mg/m³. Number 9: calculated density 7.232 Mg/m³. Number 10: calculated density 7.647 Mg/m³. Number 11: calculated density 8.240 Mg/m³. Number 12: calculated density 8.912 Mg/m³.